Entry 1:
The following is a PBE calculation of an optimized crystal structure of GdThAgSb, from the Alexandria database.

For the magnetic moment, the calculation gives 8.02 μB/f.u. The calculation puts the uncorrected formation energy at -174 kJ/mol of formula units. The calculation puts the calculated density at 9536 kg/m3.

The space group is F-43m (No. 216) and the conventional cell measures 7.554, 7.554 and 7.554 Å, with angles of 90.00, 90.00 and 90.00 degrees. The asymmetric unit holds Gd at (0.000, 0.000, 0.000), Th at (0.000, 0.000, 0.500), Ag at (0.250, 0.250, 0.750) and Sb at (0.250, 0.250, 0.250).

Entry 2:
The following is a PBE calculation of an optimized crystal structure of TbCe2Pr, from the Alexandria database.

For the magnetic moment, the calculation gives 1.59 μB/f.u. The relative energy among the computed polymorphs comes out at 0.000 eV per atom. The calculation puts the energy relative to the elements at 0.109 eV/atom. The calculation puts the calculated density at 7628 kg/m3.

The space group is R3m (No. 160, hexagonal axes) and the conventional cell measures 3.5353, 3.5353 and 35.0014 Å, with angles of 90.00, 90.00 and 120.00 degrees. The asymmetric unit holds Tb at (0.0000, 0.0000, 0.0000), Ce at (0.0000, 0.0000, 0.5857), Ce at (0.0000, 0.0000, 0.7487) and Pr at (0.0000, 0.0000, 0.1689).

Entry 3:
The following is a PBE calculation of an optimized crystal structure of MnZnFe4, from the Alexandria database.

For the magnetic moment, the calculation gives 10.68 μB/f.u. The relative energy among the computed polymorphs comes out at 0.086 eV per atom. The calculation puts the energy relative to the elements at 0.162 eV/atom. The calculation puts the calculated density at 7693 kg/m3.

The space group is F-43m (No. 216) and the conventional cell measures 6.670, 6.670 and 6.670 Å, with angles of 90.00, 90.00 and 90.00 degrees. The asymmetric unit holds Mn at (0.000, 0.000, 0.000), Zn at (0.250, 0.250, 0.750) and Fe at (0.125, 0.125, 0.375).

Entry 4:
The following is a PBE calculation of an optimized crystal structure of PrMg4Hg, from the Alexandria database.

For the magnetic moment, the calculation gives 0.00 μB/f.u. The relative energy among the computed polymorphs comes out at 0.000 eV per atom. The calculation puts the energy relative to the elements at -0.187 eV/atom. The calculation puts the calculated density at 4808 kg/m3.

The space group is Pmma (No. 51) and the conventional cell measures 8.621, 4.416 and 7.960 Å, with angles of 90.00, 90.00 and 90.00 degrees. The asymmetric unit holds Pr at (0.250, 0.000, 0.121), Mg at (0.000, 0.000, 0.500), Mg at (0.053, 0.500, 0.812), Mg at (0.250, 0.500, 0.444) and Hg at (0.250, 0.000, 0.720).

Entry 5:
The following is a PBE calculation of an optimized crystal structure of Tb2NdY3Ho6, from the Alexandria database.

For the magnetic moment, the calculation gives 0.00 μB/f.u. The calculation puts the energy relative to the elements at 0.020 eV/atom. The calculation puts the calculated density at 7490 kg/m3.

The space group is C2/m (No. 12) and the conventional cell measures 6.160, 10.660 and 11.781 Å, with angles of 90.00, 99.99 and 90.00 degrees. The asymmetric unit holds Tb at (0.000, 0.167, 0.000), Nd at (0.000, 0.500, 0.000), Y at (0.000, 0.000, 0.500), Y at (0.000, 0.333, 0.500), Ho at (0.249, 0.167, 0.749) and Ho at (0.250, 0.000, 0.251).

Entry 6:
The following is a PBE calculation of an optimized crystal structure of Tb3ErRu3, from the Alexandria database.

For the magnetic moment, the calculation gives 0.00 μB/f.u. The relative energy among the computed polymorphs comes out at 0.000 eV per atom. The calculation puts the energy relative to the elements at -0.357 eV/atom. The calculation puts the calculated density at 10249 kg/m3.

The space group is R3m (No. 160, hexagonal axes) and the conventional cell measures 9.5312, 9.5312 and 5.8520 Å, with angles of 90.00, 90.00 and 120.00 degrees. The asymmetric unit holds Tb at (0.0575, 0.5287, 0.0000), Er at (0.0000, 0.0000, 0.8857) and Ru at (0.0002, 0.5001, 0.4705).

Entry 7:
The following is a PBE calculation of an optimized crystal structure of Li4Pm3NpTe8, from the Alexandria database.

For the magnetic moment, the calculation gives 4.01 μB/f.u. The calculation puts the uncorrected formation energy at -1799 kJ/mol of formula units. The calculation puts the calculated density at 5943 kg/m3.

The space group is R-3m (No. 166, hexagonal axes) and the conventional cell measures 8.8608, 8.8608 and 21.2099 Å, with angles of 90.00, 90.00 and 120.00 degrees. The asymmetric unit holds Li at (0.0000, 0.0000, 0.0000), Li at (0.0000, 0.5000, 0.0000), Pm at (0.0000, 0.5000, 0.5000), Np at (0.0000, 0.0000, 0.5000), Te at (0.0000, 0.0000, 0.2538) and Te at (0.0016, 0.5008, 0.2533).

Entry 8:
The following is a PBE calculation of an optimized crystal structure of Sm3ErSc3, from the Alexandria database.

For the magnetic moment, the calculation gives 0.00 μB/f.u. The calculation puts the energy relative to the elements at 0.313 eV/atom. The calculation puts the calculated density at 5894 kg/m3.

The space group is R-3 (No. 148, hexagonal axes) and the conventional cell measures 8.3770, 8.3770 and 20.9504 Å, with angles of 90.00, 90.00 and 120.00 degrees. The asymmetric unit holds Sm at (0.0012, 0.2372, 0.4377), Er at (0.0000, 0.0000, 0.1479) and Sc at (0.0594, 0.7907, 0.7120).

Question: Among the records above, which one has the highest calculated density?
Answer: Tb3ErRu3

Please write out number 4 again, unchanged.
The following is a PBE calculation of an optimized crystal structure of PrMg4Hg, from the Alexandria database.

For the magnetic moment, the calculation gives 0.00 μB/f.u. The relative energy among the computed polymorphs comes out at 0.000 eV per atom. The calculation puts the energy relative to the elements at -0.187 eV/atom. The calculation puts the calculated density at 4808 kg/m3.

The space group is Pmma (No. 51) and the conventional cell measures 8.621, 4.416 and 7.960 Å, with angles of 90.00, 90.00 and 90.00 degrees. The asymmetric unit holds Pr at (0.250, 0.000, 0.121), Mg at (0.000, 0.000, 0.500), Mg at (0.053, 0.500, 0.812), Mg at (0.250, 0.500, 0.444) and Hg at (0.250, 0.000, 0.720).

Question: What is the calculated density in the third record?
Answer: 7693 kg/m3